Compound: InHgPb2
Source: the Alexandria database
Functional: PBE-GGA
Structure: optimized geometry

Cell: 5.4745 5.4745 5.4745 Å, 60.00 60.00 60.00°
Element x y z (fractional)
1 Pb 0.0000 0.0000 0.0000
2 Pb 0.2500 0.2500 0.2500
3 Hg 0.5000 0.5000 0.5000
4 In 0.7500 0.7500 0.7500

## Properties
For the volume, the calculation gives 116.0 Å³/cell. The polymorph energy (0 for the lowest one) is 16.4 meV/atom.


Compound: TbY8Mg2
Source: the Alexandria database
Functional: PBE-GGA
Structure: optimized geometry

Cell: 5.3590 8.4322 8.7197 Å, 114.01 107.90 90.00°
Element x y z (fractional)
1 Tb 0.5000 0.0000 0.0000
2 Y 0.6018 0.4723 0.2036
3 Y 0.3116 0.0465 0.6232
4 Y 0.1485 0.2065 0.2970
5 Y 0.0566 0.7361 0.1131
6 Y 0.8515 0.7935 0.7030
7 Y 0.6884 0.9535 0.3768
8 Y 0.3982 0.5277 0.7964
9 Y 0.9434 0.2639 0.8869
10 Mg 0.2262 0.6295 0.4523
11 Mg 0.7738 0.3705 0.5477

## Properties
For the total energy, the calculation gives -5.407 eV/atom. For the volume, the calculation gives 339.0 Å³/cell.


Compound: NbTlSe2
Source: the Alexandria database
Functional: PBE-GGA
Structure: optimized geometry

Cell: 18.4922 7.5910 7.5910 Å, 89.99 108.92 71.08°
Element x y z (fractional)
1 Tl 0.4063 0.4319 0.1866
2 Tl 0.0937 0.6866 0.9319
3 Tl 0.5937 0.5681 0.8134
4 Tl 0.9063 0.3134 0.0681
5 Tl 0.3690 0.9801 0.2006
6 Tl 0.1310 0.7006 0.4801
7 Tl 0.6310 0.0199 0.7994
8 Tl 0.8690 0.2994 0.5199
9 Nb 0.1639 0.1269 0.2245
10 Nb 0.3361 0.7245 0.6269
11 Nb 0.8361 0.8731 0.7755
12 Nb 0.6639 0.2755 0.3731
13 Nb 0.3315 0.2669 0.6234
14 Nb 0.1685 0.1234 0.7669
15 Nb 0.6685 0.7331 0.3766
16 Nb 0.8315 0.8766 0.2331
17 Se 0.9223 0.8147 0.5701
18 Se 0.5777 0.0701 0.3147
19 Se 0.0777 0.1853 0.4299
20 Se 0.4223 0.9299 0.6853
21 Se 0.7406 0.2103 0.1516
22 Se 0.7594 0.6516 0.7103
23 Se 0.2594 0.7897 0.8484
24 Se 0.2406 0.3484 0.2897
25 Se 0.5559 0.5962 0.2837
26 Se 0.9441 0.7837 0.0962
27 Se 0.4441 0.4038 0.7163
28 Se 0.0559 0.2163 0.9038
29 Se 0.7500 0.2106 0.7106
30 Se 0.2500 0.7894 0.2894
31 Se 0.7500 0.6649 0.1649
32 Se 0.2500 0.3351 0.8351

## Properties
For the total energy, the calculation gives -5.243 eV/atom. For the volume, the calculation gives 946.9 Å³/cell.